Computed, not measured: Nd2AlAgSe5 after structural relaxation at the GGA-PBE level of DFT.

```
data_Nd2AlAgSe5
_cell_length_a 4.053
_cell_length_b 18.379
_cell_length_c 11.871
_cell_angle_alpha 90.00
_cell_angle_beta 90.00
_cell_angle_gamma 90.00
_symmetry_space_group_name_H-M 'C m c 21'
_symmetry_Int_Tables_number 36
_symmetry_space_group_name_Hall 'C 2c -2'
loop_
_atom_site_label
_atom_site_type_symbol
_atom_site_fract_x
_atom_site_fract_y
_atom_site_fract_z
Nd1 Nd 0.000 0.118 0.000
Nd2 Nd 0.000 0.126 0.618
Al1 Al 0.000 0.428 0.773
Ag1 Ag 0.000 0.223 0.341
Se1 Se 0.000 0.042 0.381
Se2 Se 0.000 0.290 0.996
Se3 Se 0.000 0.316 0.670
Se4 Se 0.000 0.367 0.314
Se5 Se 0.000 0.497 0.598
```

Summary:
* formation energy without anion corrections: -1272 meV per atom
* total DFT energy (no corrections): -5.000 eV/atom
* V: 884 Å³/cell

Computed, not measured: NdSmAlAg after structural relaxation at the GGA-PBE level of DFT.

```
data_NdSmAlAg
_cell_length_a 3.641
_cell_length_b 3.641
_cell_length_c 7.763
_cell_angle_alpha 90.00
_cell_angle_beta 90.00
_cell_angle_gamma 90.00
_symmetry_space_group_name_H-M 'P 4 m m'
_symmetry_Int_Tables_number 99
_symmetry_space_group_name_Hall 'P 4 -2'
loop_
_atom_site_label
_atom_site_type_symbol
_atom_site_fract_x
_atom_site_fract_y
_atom_site_fract_z
Nd1 Nd 0.000 0.000 0.000
Sm1 Sm 0.000 0.000 0.507
Al1 Al 0.500 0.500 0.750
Ag1 Ag 0.500 0.500 0.264
```

Summary:
* ΔE_f: -0.321 eV per atom
* density of states at the Fermi level: 4.1 states/eV/f.u.
* polymorph energy (0 for the lowest one): 0.0000 eV/atom
* total DFT energy (no corrections): -4.341 eV/atom
* V: 103 Å³/cell

Computed, not measured: NdSmAlAg after structural relaxation at the GGA-PBE level of DFT.

```
data_NdSmAlAg
_cell_length_a 7.488
_cell_length_b 7.488
_cell_length_c 7.488
_cell_angle_alpha 90.00
_cell_angle_beta 90.00
_cell_angle_gamma 90.00
_symmetry_space_group_name_H-M 'F -4 3 m'
_symmetry_Int_Tables_number 216
_symmetry_space_group_name_Hall 'F -4 2 3'
loop_
_atom_site_label
_atom_site_type_symbol
_atom_site_fract_x
_atom_site_fract_y
_atom_site_fract_z
Nd1 Nd 0.000 0.000 0.000
Sm1 Sm 0.000 0.000 0.500
Al1 Al 0.250 0.250 0.250
Ag1 Ag 0.250 0.250 0.750
```

Summary:
* ΔE_f: -0.292 eV per atom
* density of states at the Fermi level: 4.8 states/eV/f.u.
* polymorph energy (0 for the lowest one): 0.0293 eV/atom
* total DFT energy (no corrections): -4.312 eV/atom
* V: 420 Å³/cell

Computed, not measured: NdSm2Al2Ag2 after structural relaxation at the GGA-PBE level of DFT.

```
data_NdSm2Al2Ag2
_cell_length_a 4.7130
_cell_length_b 4.7130
_cell_length_c 27.3462
_cell_angle_alpha 90.00
_cell_angle_beta 90.00
_cell_angle_gamma 120.00
_symmetry_space_group_name_H-M 'R -3 m'
_symmetry_Int_Tables_number 166
_symmetry_space_group_name_Hall '-R 3 2"'
loop_
_atom_site_label
_atom_site_type_symbol
_atom_site_fract_x
_atom_site_fract_y
_atom_site_fract_z
Nd1 Nd 0.0000 0.0000 0.0000
Sm1 Sm 0.0000 0.0000 0.1272
Al1 Al 0.0000 0.0000 0.2604
Ag1 Ag 0.0000 0.0000 0.4008
```

Summary:
* ΔE_f: -0.284 eV per atom
* density of states at the Fermi level: 5.6 states/eV/f.u.
* total DFT energy (no corrections): -4.198 eV/atom
* V: 526 Å³/cell

Computed, not measured: Nd2AlAgTe5 after structural relaxation at the GGA-PBE level of DFT.

```
data_Nd2AlAgTe5
_cell_length_a 4.300
_cell_length_b 19.593
_cell_length_c 12.805
_cell_angle_alpha 90.00
_cell_angle_beta 90.00
_cell_angle_gamma 90.00
_symmetry_space_group_name_H-M 'C m c 21'
_symmetry_Int_Tables_number 36
_symmetry_space_group_name_Hall 'C 2c -2'
loop_
_atom_site_label
_atom_site_type_symbol
_atom_site_fract_x
_atom_site_fract_y
_atom_site_fract_z
Nd1 Nd 0.000 0.117 0.000
Nd2 Nd 0.000 0.128 0.619
Al1 Al 0.000 0.422 0.778
Ag1 Ag 0.000 0.218 0.336
Te1 Te 0.000 0.042 0.390
Te2 Te 0.000 0.289 0.989
Te3 Te 0.000 0.311 0.664
Te4 Te 0.000 0.362 0.314
Te5 Te 0.000 0.496 0.604
```

Summary:
* formation energy without anion corrections: -901 meV per atom
* total DFT energy (no corrections): -4.439 eV/atom
* V: 1079 Å³/cell

Computed, not measured: NdAlTlAg after structural relaxation at the GGA-PBE level of DFT.

```
data_NdAlTlAg
_cell_length_a 7.242
_cell_length_b 7.242
_cell_length_c 7.242
_cell_angle_alpha 90.00
_cell_angle_beta 90.00
_cell_angle_gamma 90.00
_symmetry_space_group_name_H-M 'F -4 3 m'
_symmetry_Int_Tables_number 216
_symmetry_space_group_name_Hall 'F -4 2 3'
loop_
_atom_site_label
_atom_site_type_symbol
_atom_site_fract_x
_atom_site_fract_y
_atom_site_fract_z
Nd1 Nd 0.000 0.000 0.000
Al1 Al 0.000 0.000 0.500
Tl1 Tl 0.250 0.250 0.250
Ag1 Ag 0.250 0.250 0.750
```

Summary:
* ΔE_f: -0.168 eV per atom
* density of states at the Fermi level: 1.3 states/eV/f.u.
* total DFT energy (no corrections): -3.600 eV/atom
* V: 380 Å³/cell

Computed, not measured: Nd4AlTlAg2 after structural relaxation at the GGA-PBE level of DFT.

```
data_Nd4AlTlAg2
_cell_length_a 5.3696
_cell_length_b 5.3696
_cell_length_c 26.4447
_cell_angle_alpha 90.00
_cell_angle_beta 90.00
_cell_angle_gamma 120.00
_symmetry_space_group_name_H-M 'R -3 m'
_symmetry_Int_Tables_number 166
_symmetry_space_group_name_Hall '-R 3 2"'
loop_
_atom_site_label
_atom_site_type_symbol
_atom_site_fract_x
_atom_site_fract_y
_atom_site_fract_z
Nd1 Nd 0.0000 0.0000 0.1220
Nd2 Nd 0.0000 0.0000 0.3722
Al1 Al 0.0000 0.0000 0.0000
Tl1 Tl 0.0000 0.0000 0.5000
Ag1 Ag 0.0000 0.0000 0.2506
```

Summary:
* ΔE_f: -0.303 eV per atom
* density of states at the Fermi level: 9.0 states/eV/f.u.
* total DFT energy (no corrections): -4.163 eV/atom
* V: 660 Å³/cell

Computed, not measured: NdTmAlAg after structural relaxation at the GGA-PBE level of DFT.

```
data_NdTmAlAg
_cell_length_a 7.368
_cell_length_b 7.368
_cell_length_c 7.368
_cell_angle_alpha 90.00
_cell_angle_beta 90.00
_cell_angle_gamma 90.00
_symmetry_space_group_name_H-M 'F -4 3 m'
_symmetry_Int_Tables_number 216
_symmetry_space_group_name_Hall 'F -4 2 3'
loop_
_atom_site_label
_atom_site_type_symbol
_atom_site_fract_x
_atom_site_fract_y
_atom_site_fract_z
Nd1 Nd 0.000 0.000 0.000
Tm1 Tm 0.000 0.000 0.500
Al1 Al 0.250 0.250 0.750
Ag1 Ag 0.250 0.250 0.250
```

Summary:
* ΔE_f: -0.309 eV per atom
* density of states at the Fermi level: 3.8 states/eV/f.u.
* polymorph energy (0 for the lowest one): 0.0388 eV/atom
* total DFT energy (no corrections): -4.267 eV/atom
* V: 400 Å³/cell

Computed, not measured: NdTmAlAg after structural relaxation at the GGA-PBE level of DFT.

```
data_NdTmAlAg
_cell_length_a 3.581
_cell_length_b 3.581
_cell_length_c 7.645
_cell_angle_alpha 90.00
_cell_angle_beta 90.00
_cell_angle_gamma 90.00
_symmetry_space_group_name_H-M 'P 4 m m'
_symmetry_Int_Tables_number 99
_symmetry_space_group_name_Hall 'P 4 -2'
loop_
_atom_site_label
_atom_site_type_symbol
_atom_site_fract_x
_atom_site_fract_y
_atom_site_fract_z
Nd1 Nd 0.000 0.000 0.000
Tm1 Tm 0.000 0.000 0.503
Al1 Al 0.500 0.500 0.739
Ag1 Ag 0.500 0.500 0.288
```

Summary:
* ΔE_f: -0.348 eV per atom
* density of states at the Fermi level: 3.0 states/eV/f.u.
* polymorph energy (0 for the lowest one): 0.0000 eV/atom
* total DFT energy (no corrections): -4.306 eV/atom
* V: 98 Å³/cell

Computed, not measured: NdAl3ZnAg after structural relaxation at the GGA-PBE level of DFT.

```
data_NdAl3ZnAg
_cell_length_a 6.064
_cell_length_b 12.807
_cell_length_c 6.351
_cell_angle_alpha 90.00
_cell_angle_beta 90.00
_cell_angle_gamma 90.00
_symmetry_space_group_name_H-M 'C m c m'
_symmetry_Int_Tables_number 63
_symmetry_space_group_name_Hall '-C 2c 2'
loop_
_atom_site_label
_atom_site_type_symbol
_atom_site_fract_x
_atom_site_fract_y
_atom_site_fract_z
Nd1 Nd 0.000 0.197 0.250
Al1 Al 0.000 0.371 0.750
Al2 Al 0.216 0.000 0.000
Zn1 Zn 0.000 0.416 0.250
Ag1 Ag 0.000 0.156 0.750
```

Summary:
* ΔE_f: -0.086 eV per atom
* density of states at the Fermi level: 2.8 states/eV/f.u.
* total DFT energy (no corrections): -3.440 eV/atom
* V: 493 Å³/cell

Computed, not measured: NdAlZn2Ag after structural relaxation at the GGA-PBE level of DFT.

```
data_NdAlZn2Ag
_cell_length_a 4.213
_cell_length_b 4.407
_cell_length_c 10.871
_cell_angle_alpha 90.00
_cell_angle_beta 90.00
_cell_angle_gamma 90.00
_symmetry_space_group_name_H-M 'I m m 2'
_symmetry_Int_Tables_number 44
_symmetry_space_group_name_Hall 'I 2 -2'
loop_
_atom_site_label
_atom_site_type_symbol
_atom_site_fract_x
_atom_site_fract_y
_atom_site_fract_z
Nd1 Nd 0.000 0.000 0.000
Al1 Al 0.000 0.000 0.385
Zn1 Zn 0.000 0.000 0.614
Zn2 Zn 0.000 0.500 0.253
Ag1 Ag 0.000 0.500 0.748
```

Summary:
* ΔE_f: -0.310 eV per atom
* density of states at the Fermi level: 2.5 states/eV/f.u.
* total DFT energy (no corrections): -3.092 eV/atom
* V: 202 Å³/cell

Computed, not measured: Nd2Al4ZnAg3 after structural relaxation at the GGA-PBE level of DFT.

```
data_Nd2Al4ZnAg3
_cell_length_a 4.386
_cell_length_b 4.386
_cell_length_c 10.741
_cell_angle_alpha 90.00
_cell_angle_beta 90.00
_cell_angle_gamma 90.00
_symmetry_space_group_name_H-M 'P -4 m 2'
_symmetry_Int_Tables_number 115
_symmetry_space_group_name_Hall 'P -4 -2'
loop_
_atom_site_label
_atom_site_type_symbol
_atom_site_fract_x
_atom_site_fract_y
_atom_site_fract_z
Nd1 Nd 0.000 0.500 0.245
Al1 Al 0.000 0.000 0.500
Al2 Al 0.000 0.500 0.868
Al3 Al 0.500 0.500 0.500
Zn1 Zn 0.500 0.500 0.000
Ag1 Ag 0.000 0.000 0.000
Ag2 Ag 0.000 0.500 0.632
```

Summary:
* ΔE_f: -0.356 eV per atom
* density of states at the Fermi level: 5.3 states/eV/f.u.
* total DFT energy (no corrections): -3.789 eV/atom
* V: 207 Å³/cell

The highest total DFT energy (no corrections) belongs to which entry? NdAlZn2Ag

Which of these has the lowest V? number 9

Please write out number 12 again, unchanged.
Computed, not measured: Nd2Al4ZnAg3 after structural relaxation at the GGA-PBE level of DFT.

```
data_Nd2Al4ZnAg3
_cell_length_a 4.386
_cell_length_b 4.386
_cell_length_c 10.741
_cell_angle_alpha 90.00
_cell_angle_beta 90.00
_cell_angle_gamma 90.00
_symmetry_space_group_name_H-M 'P -4 m 2'
_symmetry_Int_Tables_number 115
_symmetry_space_group_name_Hall 'P -4 -2'
loop_
_atom_site_label
_atom_site_type_symbol
_atom_site_fract_x
_atom_site_fract_y
_atom_site_fract_z
Nd1 Nd 0.000 0.500 0.245
Al1 Al 0.000 0.000 0.500
Al2 Al 0.000 0.500 0.868
Al3 Al 0.500 0.500 0.500
Zn1 Zn 0.500 0.500 0.000
Ag1 Ag 0.000 0.000 0.000
Ag2 Ag 0.000 0.500 0.632
```

Summary:
* ΔE_f: -0.356 eV per atom
* density of states at the Fermi level: 5.3 states/eV/f.u.
* total DFT energy (no corrections): -3.789 eV/atom
* V: 207 Å³/cell